[1]
A plane-wave DFT calculation with PBE was carried out for a relaxed structure of Li2Zr2NpSe6.

Output
Formation energy without anion corrections ... -1.2814 eV per atom

Cell: 6.765 6.765 6.924 Å, 99.29 99.29 120.30°
Sites, in units of the cell vectors:
Li (0.165, 0.835, 0.000)
Li (0.835, 0.165, 0.000)
Zr (0.334, 0.666, 0.500)
Zr (0.666, 0.334, 0.500)
Np (0.000, 0.000, 0.500)
Se (0.081, 0.428, 0.749)
Se (0.263, 0.263, 0.249)
Se (0.428, 0.081, 0.749)
Se (0.572, 0.919, 0.251)
Se (0.737, 0.737, 0.751)
Se (0.919, 0.572, 0.251)

***

[2]
A plane-wave DFT calculation with PBE was carried out for a relaxed structure of TaP2Au.

Output
Polymorph energy (0 for the lowest one) ... 320 meV/atom
Formation energy ... 0.11 eV per atom

Cell: 2.889 2.889 8.921 Å, 90.00 90.00 107.08°
Sites, in units of the cell vectors:
Ta (0.000, 0.000, 0.000)
P (0.500, 0.500, 0.206)
P (0.500, 0.500, 0.794)
Au (0.000, 0.000, 0.500)

***

[3]
A plane-wave DFT calculation with PBE was carried out for a relaxed structure of Ca2NdErSe4.

Output
Formation energy without anion corrections ... -1.8722 eV per atom

Cell: 7.179 4.135 7.289 Å, 90.00 109.08 90.00°
Sites, in units of the cell vectors:
Ca (0.000, 0.000, 0.000)
Ca (0.500, 0.500, 0.000)
Nd (0.000, 0.500, 0.500)
Er (0.500, 0.000, 0.500)
Se (0.259, 0.000, 0.753)
Se (0.259, 0.500, 0.254)
Se (0.741, 0.000, 0.247)
Se (0.741, 0.500, 0.746)

***

[4]
A plane-wave DFT calculation with PBE was carried out for a relaxed structure of Sm2NiPd.

Output
Polymorph energy (0 for the lowest one) ... 72 meV/atom
Formation energy ... -0.52 eV per atom

Cell: 5.023 5.023 3.472 Å, 90.00 90.00 90.00°
Sites, in units of the cell vectors:
Sm (0.000, 0.500, 0.000)
Sm (0.500, 0.000, 0.000)
Ni (0.000, 0.000, 0.500)
Pd (0.500, 0.500, 0.500)

***

[5]
A plane-wave DFT calculation with PBE was carried out for a relaxed structure of YSi3N.

Output
Polymorph energy (0 for the lowest one) ... 1950 meV/atom
Formation energy without anion corrections ... 2.1520 eV per atom

Cell: 5.442 5.442 5.442 Å, 90.00 90.00 90.00°
Sites, in units of the cell vectors:
Y (0.000, 0.000, 0.000)
Si (0.000, 0.000, 0.500)
Si (0.000, 0.500, 0.000)
Si (0.500, 0.000, 0.000)
N (0.500, 0.500, 0.500)

***

[6]
A plane-wave DFT calculation with PBE was carried out for a relaxed structure of CrHS2.

Output
Polymorph energy (0 for the lowest one) ... 303 meV/atom

Cell: 6.479 3.145 11.061 Å, 90.00 90.00 90.00°
Sites, in units of the cell vectors:
Cr (0.061, 0.250, 0.085)
Cr (0.439, 0.750, 0.585)
Cr (0.561, 0.250, 0.415)
Cr (0.939, 0.750, 0.915)
H (0.033, 0.250, 0.693)
H (0.467, 0.750, 0.193)
H (0.533, 0.250, 0.807)
H (0.967, 0.750, 0.307)
S (0.092, 0.750, 0.722)
S (0.248, 0.750, 0.998)
S (0.252, 0.250, 0.498)
S (0.408, 0.250, 0.222)
S (0.592, 0.750, 0.778)
S (0.748, 0.750, 0.502)
S (0.752, 0.250, 0.002)
S (0.908, 0.250, 0.278)

***

[7]
A plane-wave DFT calculation with PBE was carried out for a relaxed structure of NaSr2Pm.

Output
Polymorph energy (0 for the lowest one) ... 16 meV/atom
Formation energy ... 0.13 eV per atom

Cell: 13.046 13.046 13.046 Å, 17.61 17.61 17.61°
Sites, in units of the cell vectors:
Na (0.000, 0.000, 0.000)
Sr (0.419, 0.419, 0.419)
Sr (0.581, 0.581, 0.581)
Pm (0.167, 0.167, 0.167)

***

[8]
A plane-wave DFT calculation with PBE was carried out for a relaxed structure of LaSi.

Output
Formation energy without anion corrections ... -0.5926 eV per atom

Cell: 6.206 6.206 6.206 Å, 143.22 136.13 58.54°
Sites, in units of the cell vectors:
La (0.364, 0.114, 0.250)
La (0.636, 0.886, 0.750)
Si (0.071, 0.321, 0.750)
Si (0.929, 0.679, 0.250)

***

Calculated N(E_F), 1.101, 0.576, 0.429, 0.726, 1.017, 0.352, 1.098, 0.703 states/eV per atom (same order as the records).